Compound: Sc2TlF
Source: the Alexandria database
Functional: PBE-GGA
Structure: relaxed

Computed properties:
* raw formation energy: -84.1 kJ/mol of atoms
* calculated density: 5.9 g/cm3
* DOS at the Fermi energy: 3.9 states/eV/cell
* space-group type: R-3m, No. 166

```
data_Sc2TlF
_symmetry_space_group_name_H-M 'P 1'
_symmetry_Int_Tables_number 1
_symmetry_space_group_name_Hall 'P 1'
_cell_length_a 8.6911
_cell_length_b 8.6911
_cell_length_c 8.6911
_cell_angle_alpha 22.94
_cell_angle_beta 22.94
_cell_angle_gamma 22.94
loop_
_atom_site_label
_atom_site_type_symbol
_atom_site_fract_x
_atom_site_fract_y
_atom_site_fract_z
F1 F 0.5000 0.5000 0.5000
Sc1 Sc 0.1166 0.1166 0.1166
Sc2 Sc 0.8834 0.8834 0.8834
Tl1 Tl 0.0000 0.0000 0.0000
```